Entry 1:
DFT (meta-GGA SCAN) results for a crystal of YTc2Hg relaxed with PBEsol.

a b c (Å): 2.831 2.831 8.971
angles (deg): 90.00 90.00 90.00
Space group P4/mmm (No. 123)
One atom of each set of equivalent atoms:
1 Y 0.000 0.000 0.000 [1 per cell]
2 Tc 0.500 0.500 0.262 [2 per cell]
3 Hg 0.000 0.000 0.500 [1 per cell]

Properties
formation energy: 2.71 eV per formula unit
M_tot: 0.00 μB/f.u.
N(E_F): 1.308 states/eV/atom

=====

Entry 2:
DFT (meta-GGA SCAN) results for a crystal of Y4TcHg relaxed with PBEsol.

a b c (Å): 8.336 8.336 8.336
angles (deg): 90.00 90.00 90.00
Space group F-43m (No. 216)
One atom of each set of equivalent atoms:
1 Y 0.124 0.124 0.376 [16 per cell]
2 Tc 0.250 0.250 0.750 [4 per cell]
3 Hg 0.000 0.000 0.000 [4 per cell]

Properties
formation energy: 4.17 eV per formula unit
M_tot: 0.82 μB/f.u.
N(E_F): 0.697 states/eV/atom

=====

Entry 3:
DFT (meta-GGA SCAN) results for a crystal of Zn2TcHg relaxed with PBEsol.

a b c (Å): 2.798 3.805 5.792
angles (deg): 90.00 90.07 90.00
Space group P2/m (No. 10)
One atom of each set of equivalent atoms:
1 Zn 0.000 0.000 0.218 [2 per cell]
2 Tc 0.500 0.500 0.000 [1 per cell]
3 Hg 0.500 0.500 0.500 [1 per cell]

Properties
formation energy: 0.93 eV per formula unit
M_tot: 0.00 μB/f.u.
N(E_F): 0.591 states/eV/atom